Record 1
## Pa2ZnAu (PBE-GGA)

Data for a geometry-optimized Pa2ZnAu structure.

Cell: 3.1189 3.1189 8.8271 Å, 90.00 90.00 90.00°
Fractional coordinates of all 4 atoms:
Pa  0.0000  0.0000  0.2445
Pa  0.0000  0.0000  0.7555
Zn  0.5000  0.5000  0.0000
Au  0.5000  0.5000  0.5000

- formation energy (meV/atom) = -129
- distance to the lowest polymorph of the same formula (meV/atom) = 28.4

---

Record 2
## BaCuSe3 (PBE-GGA)

Data for a geometry-optimized BaCuSe3 structure.

Cell: 6.2125 6.2125 6.2125 Å, 90.00 90.00 90.00°
Fractional coordinates of all 5 atoms:
Ba  0.0000  0.0000  0.0000
Cu  0.5000  0.5000  0.5000
Se  0.0000  0.0000  0.5000
Se  0.0000  0.5000  0.0000
Se  0.5000  0.0000  0.0000

- ΔE_f (raw) (eV/atom) = 0.6410
- distance to the lowest polymorph of the same formula (meV/atom) = 1361.9

---

Record 3
## HgPtS2 (PBE-GGA)

Data for a geometry-optimized HgPtS2 structure.

Cell: 6.3804 3.5350 17.4245 Å, 90.00 90.00 90.00°
Fractional coordinates of all 16 atoms:
Hg  0.1070  0.2500  0.1245
Hg  0.3930  0.7500  0.6245
Hg  0.6070  0.2500  0.3755
Hg  0.8930  0.7500  0.8755
Pt  0.1091  0.7500  0.3781
Pt  0.3909  0.2500  0.8781
Pt  0.6091  0.7500  0.1219
Pt  0.8909  0.2500  0.6219
S  0.0539  0.7500  0.6872
S  0.2257  0.7500  0.9424
S  0.2743  0.2500  0.4424
S  0.4461  0.2500  0.1872
S  0.5539  0.7500  0.8128
S  0.7257  0.7500  0.5576
S  0.7743  0.2500  0.0576
S  0.9461  0.2500  0.3128

- ΔE_f (raw) (eV/atom) = -0.2566

---

Record 4
## Li2SmHoGe2 (PBE-GGA)

Data for a geometry-optimized Li2SmHoGe2 structure.

Cell: 4.4292 4.4292 7.2708 Å, 90.00 90.00 120.00°
Fractional coordinates of all 6 atoms:
Li  0.3333  0.6667  0.2282
Li  0.6667  0.3333  0.7718
Sm  0.0000  0.0000  0.5000
Ho  0.0000  0.0000  0.0000
Ge  0.3333  0.6667  0.7583
Ge  0.6667  0.3333  0.2417

- formation energy (meV/atom) = -684

---

Record 5
## SiBiSe2N (PBE-GGA)

Data for a geometry-optimized SiBiSe2N structure.

Cell: 5.5333 5.5333 4.3177 Å, 90.00 90.00 90.00°
Fractional coordinates of all 5 atoms:
Si  0.0000  0.0000  0.0000
Bi  0.5000  0.5000  0.5000
Se  0.0000  0.5000  0.5000
Se  0.5000  0.0000  0.5000
N  0.5000  0.5000  0.0000

- ΔE_f (raw) (eV/atom) = 1.2335
- distance to the lowest polymorph of the same formula (meV/atom) = 1121.7

---

Record 6
## BeCuAs (PBE-GGA)

Data for a geometry-optimized BeCuAs structure.

Cell: 6.4523 4.1255 6.0962 Å, 90.00 90.00 90.00°
Fractional coordinates of all 12 atoms:
Be  0.0991  0.2500  0.2025
Be  0.4009  0.7500  0.7025
Be  0.5991  0.2500  0.2975
Be  0.9009  0.7500  0.7975
Cu  0.0970  0.7500  0.4400
Cu  0.4030  0.2500  0.9400
Cu  0.5970  0.7500  0.0600
Cu  0.9030  0.2500  0.5600
As  0.1905  0.7500  0.0341
As  0.3095  0.2500  0.5341
As  0.6905  0.7500  0.4659
As  0.8095  0.2500  0.9659

- formation energy (meV/atom) = 13

---

Record 7
## PaGeOs2 (PBE-GGA)

Data for a geometry-optimized PaGeOs2 structure.

Cell: 3.4161 3.4161 6.1498 Å, 90.00 90.00 90.00°
Fractional coordinates of all 4 atoms:
Pa  0.0000  0.0000  0.0000
Ge  0.0000  0.0000  0.5000
Os  0.5000  0.5000  0.2695
Os  0.5000  0.5000  0.7305

- formation energy (meV/atom) = 80
- distance to the lowest polymorph of the same formula (meV/atom) = 242.6

---

Record 8
## Er4TePd2 (PBE-GGA)

Data for a geometry-optimized Er4TePd2 structure.

Cell: 8.5409 8.5409 8.5033 Å, 119.36 119.36 91.11°
Fractional coordinates of all 14 atoms:
Er  0.1935  0.2337  0.4612
Er  0.2283  0.7675  0.9617
Er  0.2325  0.7717  0.5383
Er  0.2337  0.1935  0.9612
Er  0.7663  0.8065  0.0388
Er  0.7675  0.2283  0.4617
Er  0.7717  0.2325  0.0383
Er  0.8065  0.7663  0.5388
Te  0.3756  0.6244  0.2500
Te  0.6244  0.3756  0.7500
Pd  0.0000  0.0000  0.0000
Pd  0.0000  0.0000  0.5000
Pd  0.0000  0.5000  0.5000
Pd  0.5000  0.0000  0.0000

- ΔE_f (raw) (eV/atom) = -0.7082

---

| no. | energy (eV per cell) |
| --- | --- |
| 1 | -24.06 |
| 2 | -13.27 |
| 3 | -62.50 |
| 4 | -26.46 |
| 5 | -18.43 |
| 6 | -49.73 |
| 7 | -36.25 |
| 8 | -73.47 |